DFT (PBE+U) results for a geometry-optimized KPrCoO3 structure.

a b c (Å): 6.0737 6.0737 9.6480
angles (deg): 90.00 90.00 145.17
Positions (direct):
K1 0.2356 0.7644 0.7500
K2 0.7644 0.2356 0.2500
Pr1 0.5000 0.5000 0.0000
Pr2 0.5000 0.5000 0.5000
Co1 0.0385 0.9615 0.2500
Co2 0.9615 0.0385 0.7500
O1 0.1176 0.8824 0.0760
O2 0.1176 0.8824 0.4240
O3 0.4498 0.5502 0.2500
O4 0.5502 0.4498 0.7500
O5 0.8824 0.1176 0.5760
O6 0.8824 0.1176 0.9240

Output
electronic total energy	-6.272	eV per atom